(1)
First-principles (PBE-GGA) data for a relaxed structure of PrSiHO4, as listed in the Open Quantum Materials Database.

Structure (extended XYZ):
```
42
Lattice="-7.205 4.160 2.772 0.000 -8.320 2.772 7.205 4.160 2.772" Properties=species:S:1:pos:R:3 pbc="T T T"
H -1.787 -1.560 2.970
H -0.457 2.328 2.970
H 2.245 -0.768 2.970
H -2.155 -0.540 7.089
H 1.546 -1.596 7.089
H 0.610 2.137 7.089
O -1.438 -1.315 2.019
O -4.447 2.505 2.524
O 0.054 -5.104 2.524
O -1.997 -4.345 4.299
O -4.566 -3.188 5.580
O -2.664 -1.709 4.170
O -0.420 1.903 2.019
O 1.858 -0.588 2.019
O -2.680 1.028 4.126
O -4.423 -0.199 5.696
O 0.449 -2.835 4.126
O -2.765 3.902 4.299
O -1.799 -0.224 6.185
O -0.148 3.162 4.170
O 2.812 -1.453 4.170
O 2.384 -3.732 5.696
O 4.393 2.598 2.524
O 2.231 1.807 4.126
O 1.093 -1.446 6.185
O 0.706 1.670 6.185
O -0.478 5.548 5.580
O 4.762 0.443 4.299
O 5.044 -2.360 5.580
O 2.040 3.930 5.696
Pr -3.139 0.537 1.792
Pr 1.104 -2.988 1.792
Pr 2.035 2.450 1.792
Pr -1.183 -2.888 5.977
Pr -1.910 2.469 5.977
Pr 3.093 0.419 5.977
Si -1.137 -5.504 3.562
Si -4.198 3.736 3.562
Si -2.981 -0.325 4.971
Si 1.772 -2.419 4.971
Si 1.209 2.744 4.971
Si 5.335 1.767 3.562
```

Values from the calculation:
energy above the most stable polymorph in this dataset: 0.51 eV/f.u.


(2)
First-principles (PBE-GGA) data for a relaxed structure of PrSiHO4, as listed in the Open Quantum Materials Database.

Structure (extended XYZ):
```
14
Lattice="-3.685 -3.488 -0.080 0.911 -0.812 -6.602 3.490 -2.873 0.835" Properties=species:S:1:pos:R:3 pbc="T T T"
H 1.745 -1.437 0.418
H 2.201 -1.843 -2.884
O -1.661 -3.246 -1.537
O 1.140 -1.702 -3.457
O 1.486 -2.011 -5.966
O -0.211 -3.784 -4.685
O 0.926 -3.390 -1.162
O -0.770 -5.163 0.119
O -0.424 -5.472 -2.390
O 2.377 -3.928 -4.310
Pr -0.328 -1.140 -1.612
Pr 1.043 -6.034 -4.235
Si 1.139 -2.914 -4.605
Si -0.423 -4.259 -1.242
```

Values from the calculation:
energy above the most stable polymorph in this dataset: 0.35 eV/f.u.


(3)
First-principles (PBE-GGA) data for a relaxed structure of PrSiHO4, as listed in the Open Quantum Materials Database.

Structure (extended XYZ):
```
28
Lattice="6.459 0.000 -0.340 0.000 8.992 0.000 -2.658 0.000 5.805" Properties=species:S:1:pos:R:3 pbc="T T T"
H 3.841 6.079 0.166
H 1.289 1.583 2.396
H 2.512 7.409 3.069
H -0.040 2.913 5.299
O 6.253 2.614 0.095
O 2.044 4.158 0.341
O 3.274 6.897 0.394
O 5.125 8.903 0.311
O 0.005 4.407 2.251
O 1.856 2.401 2.168
O 3.087 8.654 2.221
O -1.122 7.111 2.468
O 4.924 1.882 2.997
O 0.715 0.339 3.243
O 1.945 6.592 3.296
O 3.796 4.585 3.214
O -1.324 0.089 5.154
O 0.527 2.095 5.071
O 1.758 4.835 5.124
O -2.451 6.378 5.370
Pr 0.859 7.853 1.271
Pr 4.272 3.357 1.291
Pr -0.470 5.636 4.174
Pr 2.943 1.140 4.194
Si 0.894 3.473 1.264
Si 4.236 7.969 1.298
Si -0.434 1.023 4.166
Si 2.907 5.519 4.201
```

Values from the calculation:
energy above the most stable polymorph in this dataset: 0.33 eV/f.u.


(4)
First-principles (PBE-GGA) data for a relaxed structure of PrSiHO4, as listed in the Open Quantum Materials Database.

Structure (extended XYZ):
```
28
Lattice="9.994 0.000 0.000 0.000 7.284 0.000 0.000 0.000 4.506" Properties=species:S:1:pos:R:3 pbc="T T T"
H 0.000 0.000 0.000
H 0.000 3.642 0.000
H 4.997 0.000 2.253
H 4.997 3.642 2.253
O 1.578 1.821 0.925
O 2.078 5.463 0.925
O 9.525 4.140 1.029
O 9.525 6.787 1.029
O 4.528 4.140 1.224
O 4.528 6.787 1.224
O 7.075 5.463 1.329
O 6.574 1.821 1.329
O 3.419 5.463 3.178
O 2.919 1.821 3.178
O 5.466 0.498 3.282
O 5.466 3.145 3.282
O 0.469 0.498 3.477
O 0.469 3.145 3.477
O 7.916 1.821 3.582
O 8.416 5.463 3.582
Pr 4.023 1.821 0.704
Pr 9.020 1.821 1.550
Pr 0.974 5.463 2.957
Pr 5.971 5.463 3.803
Si 8.565 5.463 0.693
Si 3.568 5.463 1.561
Si 6.426 1.821 2.946
Si 1.429 1.821 3.814
```

Values from the calculation:
energy above the most stable polymorph in this dataset: 1.12 eV/f.u.


(5)
First-principles (PBE-GGA) data for a relaxed structure of PrSiHO4, as listed in the Open Quantum Materials Database.

Structure (extended XYZ):
```
84
Lattice="-5.319 4.278 6.621 8.175 -4.194 2.449 6.657 11.690 -2.206" Properties=species:S:1:pos:R:3 pbc="T T T"
H -2.659 2.139 3.310
H 4.095 -2.084 1.222
H 1.110 1.948 -0.368
H -0.448 6.023 2.577
H 6.307 1.800 0.489
H 3.655 3.952 3.797
H 3.329 5.845 -1.103
H 8.519 5.683 -0.244
H 5.867 7.835 3.064
H 1.786 9.945 1.837
H 5.548 9.742 -1.838
H 8.078 11.719 2.331
O 2.998 -1.485 1.134
O -0.134 1.582 7.933
O -2.501 2.611 5.022
O 5.558 -2.174 3.981
O 0.063 1.728 0.965
O 4.119 0.683 7.666
O 0.702 2.483 5.784
O 3.655 0.236 2.788
O 0.823 3.727 3.648
O 4.971 1.516 4.448
O 2.730 2.185 0.120
O 3.240 3.366 7.917
O -0.066 6.168 5.675
O 7.160 1.357 1.991
O 0.404 5.416 1.887
O 6.884 2.448 5.714
O 3.086 4.057 2.686
O 4.216 3.833 4.911
O 5.099 2.870 1.246
O 2.397 5.360 6.286
O -1.178 8.639 5.758
O 9.798 1.566 1.402
O 2.318 6.365 3.149
O 6.478 4.147 3.953
O 1.923 8.522 4.296
O 8.309 4.514 2.329
O 3.967 6.789 0.170
O 6.441 6.555 6.397
O 6.342 7.038 1.543
O 5.190 8.280 4.652
O 2.182 10.447 5.831
O 9.544 5.211 0.300
O 1.255 10.432 2.862
O 10.486 5.251 3.264
O 4.601 8.610 2.077
O 7.333 7.414 3.985
O 5.759 8.822 -0.413
O 7.299 9.175 6.103
O 3.426 11.157 3.806
O 9.808 7.149 1.825
O 5.855 11.541 4.080
O 8.815 9.288 1.075
O 1.658 14.097 3.849
O 13.188 7.040 1.248
O 5.427 12.765 1.051
O 10.543 10.346 3.674
O 7.908 11.592 1.097
O 8.255 11.859 3.564
Pr -0.815 4.096 5.204
Pr 1.934 1.973 2.250
Pr 3.142 2.008 6.084
Pr 5.891 -0.115 3.130
Pr 1.794 7.080 0.808
Pr -0.455 8.888 3.607
Pr 3.411 6.963 5.069
Pr 6.103 4.811 1.794
Pr 4.928 10.839 2.108
Pr 7.907 8.531 -1.131
Pr 11.364 6.758 -0.096
Pr 9.024 8.729 3.285
Si -1.291 1.039 1.607
Si -4.028 3.240 5.013
Si 2.575 -0.959 2.689
Si 0.282 1.044 6.381
Si 1.644 4.915 2.927
Si 4.204 2.879 -0.141
Si 8.410 0.721 1.119
Si 5.651 2.963 4.672
Si 2.269 10.094 4.176
Si 5.132 7.814 0.731
Si 6.601 7.857 5.397
Si 9.464 5.577 1.952
```

Values from the calculation:
energy above the most stable polymorph in this dataset: 3.38 eV/f.u.


(6)
First-principles (PBE-GGA) data for a relaxed structure of PrSiHO4, as listed in the Open Quantum Materials Database.

Structure (extended XYZ):
```
28
Lattice="7.095 0.000 0.500 0.000 6.878 0.000 -2.145 0.000 6.602" Properties=species:S:1:pos:R:3 pbc="T T T"
H 3.201 5.412 1.038
H 2.822 1.973 2.763
H 2.128 4.905 4.339
H 1.750 1.466 6.065
O 1.921 6.504 0.227
O 0.523 1.879 0.958
O 5.435 3.179 1.361
O 3.139 4.666 1.688
O 2.884 1.227 2.113
O 0.588 6.618 2.441
O 5.500 5.317 2.843
O 4.102 3.065 3.574
O 0.848 3.813 3.528
O -0.549 1.560 4.259
O 4.362 0.259 4.662
O 2.067 5.651 4.989
O 1.811 2.212 5.414
O -0.484 3.698 5.742
O 4.427 4.999 6.144
O 3.030 0.374 6.876
Pr 0.628 4.437 1.260
Pr 5.395 0.999 2.541
Pr -0.445 5.879 4.561
Pr 4.323 2.440 5.842
Si 1.483 0.650 1.415
Si 4.540 4.089 2.386
Si 0.411 2.789 4.717
Si 3.467 6.227 5.687
```

Values from the calculation:
energy above the most stable polymorph in this dataset: 0.10 eV/f.u.


(7)
First-principles (PBE-GGA) data for a relaxed structure of Pr2TaHO6, as listed in the Open Quantum Materials Database.

Structure (extended XYZ):
```
40
Lattice="7.011 0.000 0.000 0.000 6.706 0.000 -6.310 0.000 10.096" Properties=species:S:1:pos:R:3 pbc="T T T"
H 3.246 2.547 1.970
H 0.610 5.900 3.078
H 0.091 0.805 7.018
H -2.545 4.158 8.126
O 1.409 2.833 0.278
O 4.706 6.385 0.605
O 0.395 5.683 0.769
O 4.079 2.595 1.456
O -0.298 1.576 2.134
O 2.235 0.526 2.162
O 1.622 3.878 2.886
O 4.155 4.928 2.914
O -0.223 5.947 3.593
O 3.461 2.330 4.280
O -0.850 3.032 4.444
O 2.447 6.185 4.771
O -1.746 0.520 5.326
O 1.551 3.674 5.653
O -2.760 4.375 5.817
O 0.924 0.758 6.504
O -3.454 1.777 7.182
O -0.921 2.827 7.210
O -1.534 6.180 7.934
O 0.999 5.130 7.963
O -3.378 4.111 8.641
O 0.306 1.023 9.328
O -4.006 0.321 9.492
O -0.708 3.873 9.819
Pr 2.724 4.916 0.831
Pr -0.776 3.907 2.139
Pr 4.632 0.554 2.909
Pr 1.132 1.564 4.217
Pr -0.431 5.142 5.879
Pr -3.931 6.151 7.187
Pr 1.477 2.799 7.958
Pr -2.023 1.789 9.266
Ta 1.006 1.041 0.738
Ta 2.850 4.394 4.311
Ta -2.149 2.312 5.786
Ta -0.305 5.665 9.359
```

Values from the calculation:
VASP energy: -8.370 eV/atom


(8)
First-principles (PBE-GGA) data for a relaxed structure of Pr3Ta2HO10, as listed in the Open Quantum Materials Database.

Structure (extended XYZ):
```
64
Lattice="-3.528 3.031 3.073 -15.103 -8.076 -9.374 -0.257 -5.689 5.316" Properties=species:S:1:pos:R:3 pbc="T T T"
H -2.715 0.675 0.591
H -15.916 -5.720 -6.892
H -9.781 -3.421 1.574
H -9.108 -7.314 -2.560
O -1.734 0.569 0.525
O -4.520 -0.056 -0.279
O -5.394 -2.097 -2.505
O -8.431 -3.249 -3.885
O -10.200 -1.797 -2.417
O -13.237 -2.949 -3.796
O -14.111 -4.990 -6.023
O -16.897 -5.615 -6.827
O -6.666 -0.318 1.615
O -12.068 -6.997 -5.796
O -8.523 -1.856 0.040
O -10.218 -5.620 -4.070
O -4.266 0.301 2.558
O -14.475 -7.781 -6.585
O -7.059 -4.052 -1.412
O -11.719 -4.248 -1.848
O -2.971 -1.750 1.253
O -15.807 -6.554 -4.510
O -5.498 -2.713 0.262
O -13.287 -5.752 -3.368
O -2.821 -0.566 4.967
O -5.180 -2.300 2.997
O -8.312 -2.401 2.737
O -9.858 -4.092 0.852
O -9.031 -6.643 -1.838
O -10.576 -8.334 -3.722
O -13.708 -8.435 -3.982
O -16.067 -10.169 -5.952
O -5.601 -4.983 2.382
O -13.390 -8.022 -1.247
O -3.081 -4.181 3.524
O -15.917 -8.985 -2.238
O -7.170 -6.487 0.863
O -11.829 -6.683 0.427
O -4.413 -2.954 5.599
O -14.622 -11.035 -3.544
O -8.670 -5.115 3.085
O -10.366 -8.878 -1.025
O -6.820 -3.737 4.810
O -12.223 -10.417 -2.600
Pr -2.292 -1.014 -1.196
Pr -7.823 -1.747 -2.249
Pr -10.808 -3.298 -4.053
Pr -16.339 -4.032 -5.106
Pr -7.613 -5.391 -3.423
Pr -1.831 0.023 2.931
Pr -5.117 -0.617 4.801
Pr -7.457 -4.093 0.968
Pr -11.432 -6.642 -1.953
Pr -13.772 -10.118 -5.786
Pr -1.954 -2.682 5.458
Pr -7.748 -8.375 -0.635
Ta -5.053 -3.777 -1.479
Ta -13.705 -4.066 -2.208
Ta -4.808 -1.233 1.349
Ta -13.954 -6.704 -4.949
Ta -4.934 -4.031 3.963
Ta -14.081 -9.502 -2.334
Ta -5.183 -6.668 1.222
Ta -13.836 -6.958 0.494
```

Values from the calculation:
VASP energy: -8.690 eV/atom


(9)
First-principles (PBE-GGA) data for a relaxed structure of TbPrH2O4, as listed in the Open Quantum Materials Database.

Structure (extended XYZ):
```
8
Lattice="4.356 0.000 0.000 0.000 3.717 0.000 -1.983 0.000 5.803" Properties=species:S:1:pos:R:3 pbc="T T T"
H 1.402 0.000 2.294
H 0.979 1.858 3.221
O 1.064 1.858 0.395
O 2.347 0.000 2.529
O 0.008 1.858 3.239
O 1.318 0.000 5.644
Pr -0.881 0.000 4.727
Tb 3.257 1.858 1.160
```

Values from the calculation:
VASP energy: -7.068 eV/atom


(10)
First-principles (PBE-GGA) data for a relaxed structure of PrTmH2O4, as listed in the Open Quantum Materials Database.

Structure (extended XYZ):
```
8
Lattice="-1.867 -3.846 0.664 0.682 -0.931 -3.475 5.930 -0.427 1.278" Properties=species:S:1:pos:R:3 pbc="T T T"
H 1.362 -2.092 0.828
H 2.726 -2.525 -0.717
O 0.273 -1.575 -1.453
O 1.190 -3.025 1.044
O 3.167 -1.669 -0.860
O 4.403 -3.291 1.746
Pr 4.528 -0.996 1.156
Tm -0.032 -3.781 -0.922
```

Values from the calculation:
VASP energy: -7.064 eV/atom


(11)
First-principles (PBE-GGA) data for a relaxed structure of PrYH2O4, as listed in the Open Quantum Materials Database.

Structure (extended XYZ):
```
8
Lattice="4.375 0.000 0.000 0.000 3.701 0.000 -2.006 0.000 5.775" Properties=species:S:1:pos:R:3 pbc="T T T"
H 1.404 0.000 2.274
H 0.979 1.850 3.234
O 1.066 1.850 0.410
O 2.349 0.000 2.509
O 0.006 1.850 3.221
O 1.307 0.000 5.598
Pr -0.904 0.000 4.700
Y 3.268 1.850 1.152
```

Values from the calculation:
VASP energy: -7.287 eV/atom